# SrCaMo2 PBE-GGA optimized geometry
# Crystal system ... orthorhombic
# D(E_F) ... 3.65 states/eV/f.u.
# Formation energy from the elements ... 1060.3 meV/atom
# Size of the total moment ... 0.0 μB per formula unit
data_SrCaMo2
_chemical_formula_sum 'Sr2 Ca2 Mo4'
_symmetry_space_group_name_H-M 'I m m m'
_symmetry_Int_Tables_number 71
_symmetry_space_group_name_Hall '-I 2 2'
_cell_length_a 4.036
_cell_length_b 4.080
_cell_length_c 10.637
_cell_angle_alpha 90.00
_cell_angle_beta 90.00
_cell_angle_gamma 90.00
loop_
_atom_site_label
_atom_site_type_symbol
_atom_site_fract_x
_atom_site_fract_y
_atom_site_fract_z
Sr1 Sr 0.000 0.000 0.000
Ca1 Ca 0.000 0.000 0.500
Mo1 Mo 0.000 0.500 0.250